Here is crystalline Th2ZnCu9 at its relaxed geometry from the Alexandria database. Energies are from GGA-PBE.

```
Th2ZnCu9
1.0
2.568 1.482 8.354
-2.568 1.482 8.354
0.000 -2.965 8.354
Th Zn Cu
2 1 9
Direct
0.137 0.137 0.137
0.863 0.863 0.863
0.000 0.000 0.000
0.079 0.580 0.580
0.333 0.333 0.333
0.420 0.420 0.921
0.420 0.921 0.420
0.500 0.500 0.500
0.580 0.079 0.580
0.580 0.580 0.079
0.667 0.667 0.667
0.921 0.420 0.420
```

The value obtained for the calculated density is 9.6 g/cm3. The final energy is -52.93 eV/f.u.

Here is crystalline RuPbC3 at its relaxed geometry from the Alexandria database. Energies are from GGA-PBE.

```
RuPbC3
1.0
4.315 0.000 0.000
0.000 4.315 0.000
0.000 0.000 4.315
Ru Pb C
1 1 3
Direct
0.000 0.000 0.000
0.500 0.500 0.500
0.000 0.500 0.500
0.500 0.000 0.500
0.500 0.500 0.000
```

The value obtained for the calculated density is 7.1 g/cm3. The final energy is -21.43 eV/f.u. The value obtained for the distance to the lowest polymorph of the same formula is 1916.6 meV per atom.

Here is crystalline Pr5HoPb3 at its relaxed geometry from the Alexandria database. Energies are from GGA-PBE.

```
Pr5HoPb3
1.0
9.813 0.000 0.000
-4.906 8.498 0.000
0.000 0.000 6.833
Pr Ho Pb
10 2 6
Direct
0.000 0.329 0.250
0.000 0.671 0.750
0.329 0.000 0.250
0.329 0.329 0.750
0.333 0.667 0.000
0.333 0.667 0.500
0.667 0.333 0.000
0.667 0.333 0.500
0.671 0.000 0.750
0.671 0.671 0.250
0.000 0.000 0.000
0.000 0.000 0.500
0.000 0.335 0.750
0.000 0.665 0.250
0.335 0.000 0.750
0.335 0.335 0.250
0.665 0.000 0.250
0.665 0.665 0.750
```

The value obtained for the calculated density is 8.7 g/cm3. The final energy is -43.29 eV/f.u.

The lowest calculated density belongs to which entry? RuPbC3

Among the records above, which one has the lowest calculated density? RuPbC3

Look up the final energy of the first one. -52.93 eV/f.u.

What is the formula in the third record? Pr5HoPb3